The following is a DFT calculation (PBE) of crystalline Ba2CaNi at its relaxed geometry.

a b c (Å): 8.4675 8.4675 8.4675
angles (deg): 96.37 96.37 141.08
Element x y z (fractional)
Ba (0.3750, 0.2289, 0.3539)
Ba (0.7711, 0.1250, 0.1461)
Ba (0.8750, 0.0211, 0.6461)
Ba (0.9789, 0.6250, 0.8539)
Ca (0.2500, 0.7500, 0.5000)
Ca (0.5000, 0.5000, 0.0000)
Ni (0.0000, 0.0000, 0.0000)
Ni (0.7500, 0.2500, 0.5000)

Computed properties:
Its energy relative to the elements is 0.145 eV per atom. The energy above the most stable polymorph in this dataset comes out at 89.9 meV per atom. As for the electronic total energy: -22.095 eV for the cell shown. The size of the total moment comes out at 0.00 μB per cell. The value obtained for the density of states at the Fermi level is 0.23 states/eV/cell. The calculation puts the calculated density at 3.4 Mg/m³.